1.
{
  "formula": "Cr2GaSiI",
  "functional": "GGA-PBE",
  "state": "relaxed",
  "dos_ef_per_ev_cell": 4.45,
  "total_energy_ev_per_atom": -4.9331,
  "lattice": [[5.0857, 0.0000, 0.0000], [0.0000, 5.0857, 0.0000], [0.0000, 0.0000, 4.6411]],
  "species": ["Cr", "Cr", "Ga", "Si", "I"],
  "frac_coords": [[0.0000, 0.5000, 0.0000], [0.5000, 0.0000, 0.0000], [0.0000, 0.0000, 0.0000], [0.0000, 0.0000, 0.5000], [0.5000, 0.5000, 0.5000]]
}

***

2.
{
  "formula": "V2CrGaI",
  "functional": "GGA-PBE",
  "state": "relaxed",
  "dos_ef_per_ev_cell": 7.06,
  "total_energy_ev_per_atom": -4.3818,
  "lattice": [[4.8720, 0.0000, 0.0000], [0.0000, 4.8720, 0.0000], [0.0000, 0.0000, 5.4297]],
  "species": ["V", "V", "Cr", "Ga", "I"],
  "frac_coords": [[0.0000, 0.5000, 0.0000], [0.5000, 0.0000, 0.0000], [0.0000, 0.0000, 0.5000], [0.5000, 0.5000, 0.5000], [0.5000, 0.5000, 0.0000]]
}

***

Number 1: calculated volume 24.01 Å³ per atom, size of the total moment 8.22 μB per formula unit, formation energy without anion corrections 442 kJ/mol of formula units. Number 2: calculated volume 25.78 Å³ per atom, size of the total moment 5.42 μB per formula unit, formation energy without anion corrections 1016 kJ/mol of formula units.